Entry one
This record from Alexandria via LeMat-Bulk describes a crystal of MgCuMo relaxed with PBEsol. The functional is SCAN.

The space group is F-43m (No. 216) and the conventional cell measures 5.986, 5.986 and 5.986 Å, with angles of 90.00, 90.00 and 90.00 degrees. The asymmetric unit holds Mg at (0.000, 0.000, 0.000), Cu at (0.000, 0.000, 0.500) and Mo at (0.250, 0.250, 0.750).

For the density of states at the Fermi level, the calculation gives 17.16 states/eV/cell.

Entry two
This record from Alexandria via LeMat-Bulk describes a crystal of MgCuMo relaxed with PBEsol. The functional is SCAN.

The space group is P3m1 (No. 156) and the conventional cell measures 4.4306, 4.4306 and 2.5991 Å, with angles of 90.00, 90.00 and 120.00 degrees. The asymmetric unit holds Mg at (0.0000, 0.0000, 0.0000), Cu at (0.3333, 0.6667, 0.1869) and Mo at (0.6667, 0.3333, 0.5605).

For the density of states at the Fermi level, the calculation gives 2.96 states/eV/cell.

How far above the most stable structure does each one sit? In kJ/mol of atoms: entry one 75.4; entry two 0.0.

Entry one
This record from Alexandria via LeMat-Bulk describes a crystal of MgCuMo2 relaxed with PBEsol. The functional is SCAN.

The space group is P4/mmm (No. 123) and the conventional cell measures 2.625, 2.625 and 8.609 Å, with angles of 90.00, 90.00 and 90.00 degrees. The asymmetric unit holds Mg at (0.000, 0.000, 0.000), Cu at (0.000, 0.000, 0.500) and Mo at (0.500, 0.500, 0.269).

For the density of states at the Fermi level, the calculation gives 2.39 states/eV/cell.

Entry two
This record from Alexandria via LeMat-Bulk describes a crystal of MgCuMo2 relaxed with PBEsol. The functional is SCAN.

The space group is Immm (No. 71) and the conventional cell measures 3.330, 3.963 and 8.970 Å, with angles of 90.00, 90.00 and 90.00 degrees. The asymmetric unit holds Mg at (0.000, 0.000, 0.000), Cu at (0.000, 0.000, 0.500) and Mo at (0.000, 0.500, 0.244).

For the density of states at the Fermi level, the calculation gives 3.61 states/eV/cell.

How far above the most stable structure does each one sit? In kJ/mol of atoms: entry one 9.1; entry two 0.0.

Entry one
This record from Alexandria via LeMat-Bulk describes a crystal of MgCu2Mo relaxed with PBEsol. The functional is SCAN.

The space group is Fm-3m (No. 225) and the conventional cell measures 6.056, 6.056 and 6.056 Å, with angles of 90.00, 90.00 and 90.00 degrees. The asymmetric unit holds Mg at (0.000, 0.000, 0.000), Cu at (0.250, 0.250, 0.250) and Mo at (0.000, 0.000, 0.500).

For the density of states at the Fermi level, the calculation gives 11.75 states/eV/cell.

Entry two
This record from Alexandria via LeMat-Bulk describes a crystal of MgCu2Mo relaxed with PBEsol. The functional is SCAN.

The space group is Pmmm (No. 47) and the conventional cell measures 2.632, 3.727 and 5.709 Å, with angles of 90.00, 90.00 and 90.00 degrees. The asymmetric unit holds Mg at (0.000, 0.000, 0.000), Cu at (0.500, 0.500, 0.267) and Mo at (0.000, 0.000, 0.500).

For the density of states at the Fermi level, the calculation gives 2.06 states/eV/cell.

How far above the most stable structure does each one sit? In kJ/mol of atoms: entry one 8.4; entry two 0.0.

Entry one
This record from Alexandria via LeMat-Bulk describes a crystal of Mg4CuO5 relaxed with PBEsol. The functional is SCAN.

The space group is Immm (No. 71) and the conventional cell measures 2.988, 4.195 and 14.893 Å, with angles of 90.00, 90.00 and 90.00 degrees. The asymmetric unit holds Mg at (0.000, 0.000, 0.099), Mg at (0.000, 0.000, 0.300), Cu at (0.000, 0.000, 0.500), O at (0.000, 0.500, 0.102), O at (0.000, 0.500, 0.300) and O at (0.000, 0.500, 0.500).

For the density of states at the Fermi level, the calculation gives 6.02 states/eV/cell.

Entry two
This record from Alexandria via LeMat-Bulk describes a crystal of Mg4CuO5 relaxed with PBEsol. The functional is SCAN.

The space group is I4/mmm (No. 139) and the conventional cell measures 2.981, 2.981 and 20.987 Å, with angles of 90.00, 90.00 and 90.00 degrees. The asymmetric unit holds Mg at (0.000, 0.000, 0.098), Mg at (0.000, 0.000, 0.300), Cu at (0.000, 0.000, 0.500), O at (0.000, 0.000, 0.000), O at (0.000, 0.000, 0.200) and O at (0.000, 0.000, 0.400).

For the density of states at the Fermi level, the calculation gives 1.69 states/eV/cell.

How far above the most stable structure does each one sit? In kJ/mol of atoms: entry one 1.6; entry two 0.0.

Entry one
This record from Alexandria via LeMat-Bulk describes a crystal of MgCu3O relaxed with PBEsol. The functional is SCAN.

The space group is Pm-3m (No. 221) and the conventional cell measures 4.405, 4.405 and 4.405 Å, with angles of 90.00, 90.00 and 90.00 degrees. The asymmetric unit holds Mg at (0.000, 0.000, 0.000), Cu at (0.000, 0.000, 0.500) and O at (0.500, 0.500, 0.500).

For the density of states at the Fermi level, the calculation gives 1.74 states/eV/cell.

Entry two
This record from Alexandria via LeMat-Bulk describes a crystal of MgCu3O relaxed with PBEsol. The functional is SCAN.

The space group is Pm-3m (No. 221) and the conventional cell measures 4.018, 4.018 and 4.018 Å, with angles of 90.00, 90.00 and 90.00 degrees. The asymmetric unit holds Mg at (0.000, 0.000, 0.000), Cu at (0.000, 0.500, 0.500) and O at (0.500, 0.500, 0.500).

For the density of states at the Fermi level, the calculation gives 2.77 states/eV/cell.

How far above the most stable structure does each one sit? In kJ/mol of atoms: entry one 150.5; entry two 0.0.

Entry one
This record from Alexandria via LeMat-Bulk describes a crystal of MgCuP2O7 relaxed with PBEsol. The functional is SCAN.

The space group is P2_1/c (No. 14) and the conventional cell measures 6.882, 8.230 and 9.050 Å, with angles of 90.00, 112.29 and 90.00 degrees. The asymmetric unit holds Mg at (0.238, 0.068, 0.109), Cu at (0.284, 0.059, 0.658), P at (0.053, 0.731, 0.737), P at (0.456, 0.724, 0.027), O at (0.015, 0.597, 0.613), O at (0.104, 0.605, 0.187), O at (0.130, 0.241, 0.704), O at (0.245, 0.662, 0.889), O at (0.377, 0.233, 0.548), O at (0.425, 0.612, 0.589) and O at (0.498, 0.087, 0.348).

For the density of states at the Fermi level, the calculation gives 0.00 states/eV/cell.

Entry two
This record from Alexandria via LeMat-Bulk describes a crystal of MgCuP2O7 relaxed with PBEsol. The functional is SCAN.

The space group is P-1 (No. 2) and the conventional cell measures 6.110, 6.256 and 7.189 Å, with angles of 69.62, 75.91 and 81.03 degrees. The asymmetric unit holds Mg at (0.058, 0.216, 0.305), Cu at (0.334, 0.409, 0.723), P at (0.162, 0.711, 0.265), P at (0.396, 0.863, 0.827), O at (0.008, 0.439, 0.749), O at (0.052, 0.871, 0.386), O at (0.248, 0.879, 0.044), O at (0.258, 0.715, 0.769), O at (0.353, 0.550, 0.352), O at (0.371, 0.245, 0.141) and O at (0.386, 0.110, 0.690).

For the density of states at the Fermi level, the calculation gives 0.00 states/eV/cell.

How far above the most stable structure does each one sit? In kJ/mol of atoms: entry one 0.0; entry two 2.8.